[1]
# CrRh5

A geometry-optimized CrRh5 structure (PBEsol, the Alexandria database).

Results
E_form	-0.068	eV/atom

abc: 4.2402 2.6734 13.8351
angles: 90.00 90.00 90.00
Atoms (fractional coordinates):
Cr 0.0000 0.0000 0.0000
Cr 0.0000 0.5000 0.5000
Rh 0.0000 0.0000 0.3402
Rh 0.0000 0.0000 0.6637
Rh 0.0000 0.5000 0.1637
Rh 0.0000 0.5000 0.8402
Rh 0.5000 0.0000 0.2242
Rh 0.5000 0.0000 0.5548
Rh 0.5000 0.0000 0.8921
Rh 0.5000 0.5000 0.0548
Rh 0.5000 0.5000 0.3921
Rh 0.5000 0.5000 0.7242

[2]
# LiCd5

A geometry-optimized LiCd5 structure (PBEsol, the Alexandria database).

Results
E_form	-0.115	eV/atom

abc: 10.9716 3.1016 7.1350
angles: 90.00 103.40 90.00
Atoms (fractional coordinates):
Li 0.0000 0.0000 0.0000
Li 0.5000 0.5000 0.0000
Cd 0.0530 0.0000 0.6204
Cd 0.1623 0.5000 0.3272
Cd 0.2208 0.5000 0.9460
Cd 0.3328 0.0000 0.6678
Cd 0.3903 0.0000 0.2659
Cd 0.5530 0.5000 0.6204
Cd 0.6623 0.0000 0.3272
Cd 0.7208 0.0000 0.9460
Cd 0.8328 0.5000 0.6678
Cd 0.8903 0.5000 0.2659

[3]
# CaNbRh3

A geometry-optimized CaNbRh3 structure (PBEsol, the Alexandria database).

Results
E_form	0.374	eV/atom

abc: 4.7085 4.7085 4.7085
angles: 90.00 90.00 90.00
Atoms (fractional coordinates):
Ca 0.0000 0.0000 0.0000
Nb 0.5000 0.5000 0.5000
Rh 0.0000 0.5000 0.5000
Rh 0.5000 0.0000 0.5000
Rh 0.5000 0.5000 0.0000

[4]
# Al3TlS

A geometry-optimized Al3TlS structure (PBEsol, the Alexandria database).

Results
raw formation energy	85	kJ/mol of atoms

abc: 5.1420 5.1420 5.1420
angles: 90.00 90.00 90.00
Atoms (fractional coordinates):
Al 0.0000 0.0000 0.5000
Al 0.0000 0.5000 0.0000
Al 0.5000 0.0000 0.0000
Tl 0.0000 0.0000 0.0000
S 0.5000 0.5000 0.5000

[5]
# BiO2

A geometry-optimized BiO2 structure (PBEsol, the Alexandria database).

Results
raw formation energy	-95	kJ/mol of atoms

abc: 5.5225 5.5225 5.6455
angles: 92.73 92.73 84.97
Atoms (fractional coordinates):
Bi 0.0000 0.0000 0.0000
Bi 0.4707 0.9908 0.5709
Bi 0.5095 0.5095 0.0916
Bi 0.9908 0.4707 0.5709
O 0.2184 0.7597 0.7426
O 0.2347 0.2347 0.8506
O 0.2409 0.8232 0.2484
O 0.3228 0.3228 0.3918
O 0.7169 0.7169 0.3881
O 0.7501 0.7501 0.8743
O 0.7597 0.2184 0.7426
O 0.8232 0.2409 0.2484

[6]
# CaSb3As

A geometry-optimized CaSb3As structure (PBEsol, the Alexandria database).

Results
raw formation energy	94	kJ/mol of atoms

abc: 5.5360 5.5360 5.5360
angles: 90.00 90.00 90.00
Atoms (fractional coordinates):
Ca 0.0000 0.0000 0.0000
Sb 0.0000 0.0000 0.5000
Sb 0.0000 0.5000 0.0000
Sb 0.5000 0.0000 0.0000
As 0.5000 0.5000 0.5000

no.,calculated volume (Å³/atom),size of the total moment (μB/cell)
1,13.069,0.002
2,19.683,0.000
3,20.877,0.000
4,27.191,0.000
5,14.263,0.001
6,33.932,0.000